--- one ---
Here is a relaxed Li2TlPd6 crystal from Alexandria via LeMat-Bulk. Energies are from PBE.

Computed properties:
* total moment: 0.00 μB per cell
* symmetry: P-3m1

Cell and atoms, written as CIF:
```
data_Li2TlPd6
_cell_length_a 4.4601
_cell_length_b 4.4601
_cell_length_c 8.1711
_cell_angle_alpha 90.00
_cell_angle_beta 90.00
_cell_angle_gamma 120.00
_symmetry_space_group_name_H-M 'P 1'
_symmetry_Int_Tables_number 1
loop_
_symmetry_equiv_pos_as_xyz
'x,y,z'
loop_
_atom_site_label
_atom_site_type_symbol
_atom_site_fract_x
_atom_site_fract_y
_atom_site_fract_z
Li1 Li 0.3333 0.6667 0.2282
Li2 Li 0.6667 0.3333 0.7718
Tl1 Tl 0.0000 0.0000 0.0000
Pd1 Pd 0.0000 0.0000 0.3335
Pd2 Pd 0.0000 0.0000 0.6665
Pd3 Pd 0.3333 0.6667 0.5378
Pd4 Pd 0.3333 0.6667 0.8743
Pd5 Pd 0.6667 0.3333 0.1257
Pd6 Pd 0.6667 0.3333 0.4622
```

--- two ---
Here is a relaxed Li2TlPd6 crystal from Alexandria via LeMat-Bulk. Energies are from PBE.

Computed properties:
* total moment: 0.00 μB per cell
* symmetry: C2/m

Cell and atoms, written as CIF:
```
data_Li2TlPd6
_cell_length_a 4.9541
_cell_length_b 4.9541
_cell_length_c 6.8271
_cell_angle_alpha 110.12
_cell_angle_beta 110.12
_cell_angle_gamma 69.65
_symmetry_space_group_name_H-M 'P 1'
_symmetry_Int_Tables_number 1
loop_
_symmetry_equiv_pos_as_xyz
'x,y,z'
loop_
_atom_site_label
_atom_site_type_symbol
_atom_site_fract_x
_atom_site_fract_y
_atom_site_fract_z
Li1 Li 0.1538 0.1538 0.1073
Li2 Li 0.8462 0.8462 0.8927
Tl1 Tl 0.5000 0.5000 0.0000
Pd1 Pd 0.1570 0.6848 0.2771
Pd2 Pd 0.2616 0.2616 0.5168
Pd3 Pd 0.3152 0.8430 0.7229
Pd4 Pd 0.6848 0.1570 0.2771
Pd5 Pd 0.7384 0.7384 0.4832
Pd6 Pd 0.8430 0.3152 0.7229
```

Stability summary: most stable one, least stable two.

--- one ---
Here is a relaxed Li2TlPd8 crystal from Alexandria via LeMat-Bulk. Energies are from PBE.

Computed properties:
* total moment: 0.00 μB per cell
* symmetry: Immm

Cell and atoms, written as CIF:
```
data_Li2TlPd8
_cell_length_a 7.3111
_cell_length_b 7.3111
_cell_length_c 7.3111
_cell_angle_alpha 147.13
_cell_angle_beta 124.11
_cell_angle_gamma 66.38
_symmetry_space_group_name_H-M 'P 1'
_symmetry_Int_Tables_number 1
loop_
_symmetry_equiv_pos_as_xyz
'x,y,z'
loop_
_atom_site_label
_atom_site_type_symbol
_atom_site_fract_x
_atom_site_fract_y
_atom_site_fract_z
Li1 Li 0.1992 0.1992 0.0000
Li2 Li 0.8008 0.8008 0.0000
Tl1 Tl 0.5000 0.5000 0.0000
Pd1 Pd 0.0521 0.3402 0.7119
Pd2 Pd 0.1930 0.0000 0.1930
Pd3 Pd 0.3464 0.8464 0.5000
Pd4 Pd 0.3716 0.6598 0.7119
Pd5 Pd 0.6284 0.3402 0.2881
Pd6 Pd 0.6536 0.1536 0.5000
Pd7 Pd 0.8070 0.0000 0.8070
Pd8 Pd 0.9479 0.6598 0.2881
```

--- two ---
Here is a relaxed Li2TlPd8 crystal from Alexandria via LeMat-Bulk. Energies are from PBE.

Computed properties:
* total moment: 0.00 μB per cell
* symmetry: C2/m

Cell and atoms, written as CIF:
```
data_Li2TlPd8
_cell_length_a 7.3460
_cell_length_b 7.3460
_cell_length_c 6.2555
_cell_angle_alpha 105.61
_cell_angle_beta 105.61
_cell_angle_gamma 31.81
_symmetry_space_group_name_H-M 'P 1'
_symmetry_Int_Tables_number 1
loop_
_symmetry_equiv_pos_as_xyz
'x,y,z'
loop_
_atom_site_label
_atom_site_type_symbol
_atom_site_fract_x
_atom_site_fract_y
_atom_site_fract_z
Li1 Li 0.2270 0.2270 0.1445
Li2 Li 0.7730 0.7730 0.8555
Tl1 Tl 0.5000 0.5000 0.5000
Pd1 Pd 0.0488 0.0488 0.2231
Pd2 Pd 0.1436 0.1436 0.7000
Pd3 Pd 0.3157 0.3157 0.5859
Pd4 Pd 0.4033 0.4033 0.0360
Pd5 Pd 0.5967 0.5967 0.9640
Pd6 Pd 0.6843 0.6843 0.4141
Pd7 Pd 0.8564 0.8564 0.3000
Pd8 Pd 0.9512 0.9512 0.7769
```

Stability summary: most stable two, least stable one.

--- one ---
Here is a relaxed Li3Tl3Pd2 crystal from Alexandria via LeMat-Bulk. Energies are from PBE.

Computed properties:
* total moment: 0.00 μB per cell
* symmetry: R32

Cell and atoms, written as CIF:
```
data_Li3Tl3Pd2
_cell_length_a 5.3618
_cell_length_b 5.3618
_cell_length_c 5.3618
_cell_angle_alpha 85.88
_cell_angle_beta 85.88
_cell_angle_gamma 85.88
_symmetry_space_group_name_H-M 'P 1'
_symmetry_Int_Tables_number 1
loop_
_symmetry_equiv_pos_as_xyz
'x,y,z'
loop_
_atom_site_label
_atom_site_type_symbol
_atom_site_fract_x
_atom_site_fract_y
_atom_site_fract_z
Li1 Li 0.0000 0.2582 0.7418
Li2 Li 0.2582 0.7418 0.0000
Li3 Li 0.7418 0.0000 0.2582
Tl1 Tl 0.2330 0.7670 0.5000
Tl2 Tl 0.5000 0.2330 0.7670
Tl3 Tl 0.7670 0.5000 0.2330
Pd1 Pd 0.2536 0.2536 0.2536
Pd2 Pd 0.7464 0.7464 0.7464
```

--- two ---
Here is a relaxed Li3Tl3Pd2 crystal from Alexandria via LeMat-Bulk. Energies are from PBE.

Computed properties:
* total moment: 0.00 μB per cell
* symmetry: P-1

Cell and atoms, written as CIF:
```
data_Li3Tl3Pd2
_cell_length_a 4.0414
_cell_length_b 4.4166
_cell_length_c 9.1751
_cell_angle_alpha 103.77
_cell_angle_beta 102.54
_cell_angle_gamma 90.22
_symmetry_space_group_name_H-M 'P 1'
_symmetry_Int_Tables_number 1
loop_
_symmetry_equiv_pos_as_xyz
'x,y,z'
loop_
_atom_site_label
_atom_site_type_symbol
_atom_site_fract_x
_atom_site_fract_y
_atom_site_fract_z
Li1 Li 0.0000 0.0000 0.0000
Li2 Li 0.1469 0.6469 0.2926
Li3 Li 0.8531 0.3531 0.7074
Tl1 Tl 0.3595 0.8610 0.7202
Tl2 Tl 0.5000 0.5000 0.0000
Tl3 Tl 0.6405 0.1390 0.2798
Pd1 Pd 0.2512 0.2522 0.5029
Pd2 Pd 0.7488 0.7478 0.4971
```

Stability summary: most stable two, least stable one.